[1]
VASP calculation (GGA-PBE) on a relaxed Nd2ErBe crystal.

Results
space-group type: P4/mmm (123)
energy above the lowest structure with this stoichiometry: 0.0 kJ per mole of atoms

Cell: 3.5814 3.5814 8.5861 Å, 90.00 90.00 90.00°
Fractional coordinates of all 4 atoms:
Be (0.5000, 0.5000, 0.0000)
Nd (0.0000, 0.0000, 0.1992)
Nd (0.0000, 0.0000, 0.8008)
Er (0.5000, 0.5000, 0.5000)


[2]
VASP calculation (GGA-PBE) on a relaxed ZrFeSi crystal.

Results
ΔE_f (raw): -0.552 eV/atom
space-group type: P-3m1 (164)

Cell: 4.1054 4.1054 6.3019 Å, 90.00 90.00 120.00°
Fractional coordinates of all 6 atoms:
Si (0.6667, 0.3333, 0.7469)
Si (0.3333, 0.6667, 0.2531)
Zr (0.0000, 0.0000, 0.5000)
Zr (0.0000, 0.0000, 0.0000)
Fe (0.6667, 0.3333, 0.3444)
Fe (0.3333, 0.6667, 0.6556)


[3]
VASP calculation (GGA-PBE) on a relaxed RbBa2TbO4 crystal.

Results
ΔE_f (raw): -2.385 eV/atom
space-group type: Imma (74)

Cell: 7.7164 7.7164 7.5591 Å, 119.33 119.33 92.39°
Fractional coordinates of all 16 atoms:
O (0.7451, 0.7548, 0.5217)
O (0.6884, 0.2815, 0.4849)
O (0.2548, 0.2451, 0.0217)
O (0.2549, 0.2452, 0.4783)
O (0.2185, 0.8115, 0.0151)
O (0.7452, 0.7549, 0.9783)
O (0.7815, 0.1885, 0.9849)
O (0.3115, 0.7185, 0.5151)
Ba (0.5000, 0.0000, 0.5000)
Ba (0.5000, 0.0000, 0.0000)
Ba (0.5000, 0.5000, 0.0000)
Ba (0.0000, 0.0000, 0.5000)
Tb (0.5000, 0.5000, 0.5000)
Tb (0.0000, 0.0000, 0.0000)
Rb (0.0000, 0.5000, 0.5000)
Rb (0.0000, 0.5000, 0.0000)


[4]
VASP calculation (GGA-PBE) on a relaxed Ba3Zn8Pd crystal.

Results
calculated total energy: -1.89 eV per atom
space-group type: P3m1 (156)

Cell: 5.3834 5.3835 11.8996 Å, 90.00 90.00 120.01°
Fractional coordinates of all 12 atoms:
Zn (0.6641, 0.8320, 0.2712)
Zn (0.1680, 0.3359, 0.2713)
Zn (0.5033, 0.4966, 0.7188)
Zn (0.3335, 0.6665, 0.5382)
Zn (0.9933, 0.4967, 0.7188)
Zn (0.1680, 0.8320, 0.2712)
Zn (0.5033, 0.0067, 0.7188)
Zn (0.3333, 0.6667, 0.9141)
Ba (0.6667, 0.3333, 0.4590)
Ba (0.0000, 0.0000, 0.8949)
Ba (0.6667, 0.3333, 0.0846)
Pd (0.9999, 0.0001, 0.6390)


[5]
VASP calculation (GGA-PBE) on a relaxed Pr2Al7Cu crystal.

Results
space-group type: P4mm (99)
energy above the lowest structure with this stoichiometry: 0.0 kJ per mole of atoms

Cell: 4.2782 4.2782 10.9900 Å, 90.00 90.00 90.00°
Fractional coordinates of all 10 atoms:
Cu (0.5000, 0.5000, 0.1213)
Al (0.0000, 0.5000, 0.7550)
Al (0.0000, 0.0000, 0.3827)
Al (0.5000, 0.5000, 0.9030)
Al (0.5000, 0.0000, 0.2368)
Al (0.5000, 0.0000, 0.7550)
Al (0.0000, 0.5000, 0.2368)
Al (0.0000, 0.0000, 0.6135)
Pr (0.0000, 0.0000, 0.9994)
Pr (0.5000, 0.5000, 0.4964)


[6]
VASP calculation (GGA-PBE) on a relaxed TbDy12Y7 crystal.

Results
space-group type: R-3 (148)
energy above the lowest structure with this stoichiometry: 0.0 kJ per mole of atoms

Cell: 8.6931 8.6931 8.6931 Å, 95.02 95.02 95.02°
Fractional coordinates of all 20 atoms:
Dy (0.8101, 0.2506, 0.6803)
Dy (0.8550, 0.5873, 0.5239)
Dy (0.4761, 0.1450, 0.4127)
Dy (0.1899, 0.7494, 0.3197)
Dy (0.3197, 0.1899, 0.7494)
Dy (0.7494, 0.3197, 0.1899)
Dy (0.2506, 0.6803, 0.8101)
Dy (0.6803, 0.8101, 0.2506)
Dy (0.5239, 0.8550, 0.5873)
Dy (0.4127, 0.4761, 0.1450)
Dy (0.1450, 0.4127, 0.4761)
Dy (0.5873, 0.5239, 0.8550)
Y (0.9853, 0.9195, 0.6506)
Y (0.0147, 0.0805, 0.3494)
Y (0.6506, 0.9853, 0.9195)
Y (0.3494, 0.0147, 0.0805)
Y (0.0805, 0.3494, 0.0147)
Y (0.9195, 0.6506, 0.9853)
Y (0.5000, 0.5000, 0.5000)
Tb (0.0000, 0.0000, 0.0000)


[7]
VASP calculation (GGA-PBE) on a relaxed SrSmAs2Pt4 crystal.

Results
calculated total energy: -5.73 eV per atom
space-group type: P4/mmm (123)

Cell: 4.1255 4.1255 10.3215 Å, 90.00 90.00 90.00°
Fractional coordinates of all 8 atoms:
Pt (0.0000, 0.5000, 0.2104)
Pt (0.5000, 0.0000, 0.7896)
Pt (0.5000, 0.0000, 0.2104)
Pt (0.0000, 0.5000, 0.7896)
Sr (0.0000, 0.0000, 0.5000)
As (0.5000, 0.5000, 0.6550)
As (0.5000, 0.5000, 0.3450)
Sm (0.0000, 0.0000, 0.0000)


[8]
VASP calculation (GGA-PBE) on a relaxed Gd2HoMn crystal.

Results
space-group type: P4/mmm (123)
energy above the lowest structure with this stoichiometry: 7.3 kJ per mole of atoms

Cell: 4.6033 4.8623 4.8623 Å, 90.00 90.00 90.00°
Site moments in Bohr magnetons follow the coordinates.
Fractional coordinates of all 4 atoms:
Mn (0.5000, 0.5000, 0.5000)  -3.77
Ho (0.5000, 0.0000, 0.0000)  0.34
Gd (0.0000, 0.0000, 0.5000)  7.35
Gd (0.0000, 0.5000, 0.0000)  7.35


[9]
VASP calculation (GGA-PBE) on a relaxed NaPa2TcN4 crystal.

Results
ΔE_f (raw): -0.638 eV/atom
space-group type: I-42m (121)

Cell: 5.6310 5.6310 5.6310 Å, 93.72 117.88 117.88°
Site moments in Bohr magnetons follow the coordinates.
Fractional coordinates of all 8 atoms:
N (0.6633, 0.5198, 0.5198)  0.00
N (0.0000, 0.1434, 0.4802)  0.00
N (0.3367, 0.8566, 0.8566)  0.00
N (0.0000, 0.4802, 0.1434)  0.00
Na (0.0000, 0.0000, 0.0000)  0.00
Pa (0.5000, 0.2500, 0.7500)  0.08
Pa (0.5000, 0.7500, 0.2500)  0.08
Tc (0.0000, 0.5000, 0.5000)  0.42


[10]
VASP calculation (GGA-PBE) on a relaxed AgMo2P crystal.

Results
calculated total energy: -7.42 eV per atom
space-group type: P4/mmm (123)

Cell: 2.9984 2.9984 6.8049 Å, 90.00 90.00 90.00°
Fractional coordinates of all 4 atoms:
Mo (0.0000, 0.0000, 0.7994)
Mo (0.0000, 0.0000, 0.2006)
P (0.5000, 0.5000, 0.0000)
Ag (0.5000, 0.5000, 0.5000)


[11]
VASP calculation (GGA-PBE) on a relaxed Ta2CoIr2 crystal.

Results
calculated total energy: -9.87 eV per atom
space-group type: P4/mbm (127)

Cell: 7.3828 7.3828 3.0154 Å, 90.00 90.00 90.00°
Fractional coordinates of all 10 atoms:
Ir (0.6339, 0.1339, 0.0000)
Ir (0.8661, 0.6339, 0.0000)
Ir (0.1339, 0.3661, 0.0000)
Ir (0.3661, 0.8661, 0.0000)
Ta (0.3322, 0.1678, 0.5000)
Ta (0.8322, 0.3322, 0.5000)
Ta (0.6678, 0.8322, 0.5000)
Ta (0.1678, 0.6678, 0.5000)
Co (0.5000, 0.5000, 0.0000)
Co (0.0000, 0.0000, 0.0000)


[12]
VASP calculation (GGA-PBE) on a relaxed NdY3Cd crystal.

Results
space-group type: Cmcm (63)
energy above the lowest structure with this stoichiometry: 3.0 kJ per mole of atoms

Cell: 5.2628 8.7377 7.0009 Å, 90.00 90.00 107.52°
Fractional coordinates of all 10 atoms:
Cd (0.2995, 0.0997, 0.7500)
Cd (0.7005, 0.9003, 0.2500)
Y (0.8886, 0.2773, 0.0042)
Y (0.2941, 0.0879, 0.2500)
Y (0.8886, 0.2773, 0.4958)
Y (0.1114, 0.7227, 0.9958)
Y (0.7059, 0.9121, 0.7500)
Y (0.1114, 0.7227, 0.5042)
Nd (0.5066, 0.5131, 0.2500)
Nd (0.4934, 0.4869, 0.7500)


[13]
VASP calculation (GGA-PBE) on a relaxed HfFeBr2 crystal.

Results
ΔE_f (raw): 0.578 eV/atom
space-group type: I-42d (122)
energy above the lowest structure with this stoichiometry: 54.6 kJ per mole of atoms

Cell: 5.8547 5.8547 6.6842 Å, 64.03 64.03 90.00°
Fractional coordinates of all 8 atoms:
Br (0.8750, 0.8285, 0.7500)
Br (0.3750, 0.4215, 0.7500)
Br (0.1715, 0.6250, 0.2500)
Br (0.5785, 0.1250, 0.2500)
Hf (0.0000, 0.0000, 0.0000)
Hf (0.7500, 0.2500, 0.5000)
Fe (0.2500, 0.7500, 0.5000)
Fe (0.5000, 0.5000, 0.0000)


[14]
VASP calculation (GGA-PBE) on a relaxed Ba2CaMg3Cd12 crystal.

Results
calculated total energy: -1.26 eV per atom
space-group type: R-3m (166)

Cell: 12.9881 12.9881 12.9881 Å, 31.61 31.61 31.61°
Fractional coordinates of all 18 atoms:
Cd (0.5889, 0.5889, 0.1771)
Cd (0.4111, 0.8229, 0.4111)
Cd (0.1771, 0.5889, 0.5889)
Cd (0.4114, 0.8920, 0.8920)
Cd (0.1080, 0.1080, 0.5886)
Cd (0.4111, 0.4111, 0.8229)
Cd (0.8229, 0.4111, 0.4111)
Cd (0.5889, 0.1771, 0.5889)
Cd (0.8920, 0.8920, 0.4114)
Cd (0.5886, 0.1080, 0.1080)
Cd (0.8920, 0.4114, 0.8920)
Cd (0.1080, 0.5886, 0.1080)
Mg (0.0000, 0.0000, 0.5000)
Mg (0.0000, 0.5000, 0.0000)
Mg (0.5000, 0.0000, 0.0000)
Ba (0.3600, 0.3600, 0.3600)
Ba (0.6400, 0.6400, 0.6400)
Ca (0.0000, 0.0000, 0.0000)


[15]
VASP calculation (GGA-PBE) on a relaxed Rb4VCl6 crystal.

Results
ΔE_f (raw): -1.715 eV/atom
space-group type: P4/mnc (128)

Cell: 8.9334 8.9334 9.3703 Å, 90.00 90.00 90.00°
Site moments in Bohr magnetons follow the coordinates.
Fractional coordinates of all 22 atoms:
Cl (0.0000, 0.0000, 0.2327)  -0.01
Cl (0.0797, 0.2754, 0.5000)  -0.01
Cl (0.5000, 0.5000, 0.2673)  -0.01
Cl (0.7246, 0.0797, 0.5000)  -0.01
Cl (0.9203, 0.7246, 0.5000)  -0.01
Cl (0.2754, 0.9203, 0.5000)  -0.01
Cl (0.4203, 0.7754, 0.0000)  -0.01
Cl (0.0000, 0.0000, 0.7673)  -0.01
Cl (0.5000, 0.5000, 0.7327)  -0.01
Cl (0.5797, 0.2246, 0.0000)  -0.01
Cl (0.2246, 0.4203, 0.0000)  -0.01
Cl (0.7754, 0.5797, 0.0000)  -0.01
Rb (0.6774, 0.8226, 0.7500)  0.00
Rb (0.1774, 0.6774, 0.7500)  0.00
Rb (0.6774, 0.8226, 0.2500)  0.00
Rb (0.3226, 0.1774, 0.2500)  0.00
Rb (0.3226, 0.1774, 0.7500)  0.00
Rb (0.8226, 0.3226, 0.7500)  0.00
Rb (0.1774, 0.6774, 0.2500)  0.00
Rb (0.8226, 0.3226, 0.2500)  0.00
V (0.5000, 0.5000, 0.0000)  2.60
V (0.0000, 0.0000, 0.5000)  2.60


[16]
VASP calculation (GGA-PBE) on a relaxed Ho4Er3Mg2 crystal.

Results
calculated total energy: -3.90 eV per atom
space-group type: C2/m (12)

Cell: 4.8876 7.7588 7.7409 Å, 107.63 108.40 90.00°
Fractional coordinates of all 9 atoms:
Er (0.0000, 0.0000, 0.0000)
Er (0.8887, 0.3335, 0.7774)
Er (0.1113, 0.6665, 0.2226)
Mg (0.3308, 0.0007, 0.6615)
Mg (0.6692, 0.9993, 0.3385)
Ho (0.4444, 0.6657, 0.8887)
Ho (0.5556, 0.3343, 0.1113)
Ho (0.7785, 0.6690, 0.5570)
Ho (0.2215, 0.3310, 0.4430)


[17]
VASP calculation (GGA-PBE) on a relaxed LiTi2HAu crystal.

Results
calculated total energy: -5.16 eV per atom
space-group type: P4/mmm (123)

Cell: 3.9558 3.9558 4.1764 Å, 90.00 90.00 90.00°
Fractional coordinates of all 5 atoms:
H (0.0000, 0.0000, 0.0000)
Au (0.5000, 0.5000, 0.5000)
Li (0.0000, 0.0000, 0.5000)
Ti (0.0000, 0.5000, 0.0000)
Ti (0.5000, 0.0000, 0.0000)


[18]
VASP calculation (GGA-PBE) on a relaxed KInGa2 crystal.

Results
calculated total energy: -2.51 eV per atom
space-group type: R-3m (166)

Cell: 4.6740 4.6740 6.9385 Å, 70.32 70.32 60.00°
Fractional coordinates of all 4 atoms:
K (0.5000, 0.5000, 0.5000)
Ga (0.2854, 0.2854, 0.1439)
Ga (0.7146, 0.7146, 0.8561)
In (0.0000, 0.0000, 0.0000)


[19]
VASP calculation (GGA-PBE) on a relaxed Ni2Sb6Pd crystal.

Results
ΔE_f (raw): -0.229 eV/atom
space-group type: P-31m (162)

Cell: 5.1296 6.7690 6.7690 Å, 120.00 90.00 90.00°
Fractional coordinates of all 9 atoms:
Sb (0.2359, 0.6382, 0.0000)
Sb (0.7641, 0.0000, 0.3618)
Sb (0.7641, 0.6382, 0.6382)
Sb (0.2359, 0.0000, 0.6382)
Sb (0.2359, 0.3618, 0.3618)
Sb (0.7641, 0.3618, 0.0000)
Pd (0.0000, 0.0000, 0.0000)
Ni (0.5000, 0.3333, 0.6667)
Ni (0.5000, 0.6667, 0.3333)


[20]
VASP calculation (GGA-PBE) on a relaxed Sr8SbAs5 crystal.

Results
ΔE_f (raw): -1.076 eV/atom
space-group type: I-4 (82)

Cell: 8.3099 8.3099 8.3099 Å, 109.24 109.94 109.24°
Fractional coordinates of all 14 atoms:
Sr (0.2651, 0.2442, 0.3639)
Sr (0.4928, 0.6180, 0.2459)
Sr (0.7541, 0.2469, 0.3721)
Sr (0.6361, 0.9013, 0.8803)
Sr (0.6279, 0.3820, 0.8747)
Sr (0.1197, 0.7558, 0.0210)
Sr (0.9790, 0.0987, 0.7349)
Sr (0.1253, 0.7531, 0.5072)
As (0.8749, 0.8790, 0.2508)
As (0.0041, 0.3758, 0.1251)
As (0.7492, 0.6242, 0.6282)
As (0.3718, 0.1210, 0.9959)
As (0.5000, 0.0000, 0.5000)
Sb (0.2500, 0.5000, 0.7500)